Entry from Alexandria via LeMat-Bulk: an optimized crystal structure of LaPm2Co (GGA-PBE).

space group = R-3m (166)
D(E_F) = 1.5123 states/eV/atom
electronic total energy = -62.74 eV/cell
calculated formation energy = 0.15 eV/atom
energy above the most stable polymorph in this dataset = 0.255 eV/atom

a b c (Å): 3.730 3.730 31.506
angles (deg): 90.00 90.00 120.00
Positions (direct):
La (0.000, 0.000, 0.000)
La (0.333, 0.667, 0.667)
La (0.667, 0.333, 0.333)
Pm (0.000, 0.000, 0.115)
Pm (0.000, 0.000, 0.885)
Pm (0.333, 0.667, 0.552)
Pm (0.333, 0.667, 0.782)
Pm (0.667, 0.333, 0.218)
Pm (0.667, 0.333, 0.448)
Co (0.000, 0.000, 0.500)
Co (0.333, 0.667, 0.167)
Co (0.667, 0.333, 0.833)



Entry from Alexandria via LeMat-Bulk: an optimized crystal structure of LaPm2Co (GGA-PBE).

space group = Pnma (62)
D(E_F) = 1.2452 states/eV/atom
electronic total energy = -87.73 eV/cell
calculated formation energy = -0.10 eV/atom
energy above the most stable polymorph in this dataset = 0.000 eV/atom

a b c (Å): 7.036 9.853 6.566
angles (deg): 90.00 90.00 90.00
Positions (direct):
La (0.062, 0.250, 0.139)
La (0.438, 0.750, 0.639)
La (0.562, 0.250, 0.361)
La (0.938, 0.750, 0.861)
Pm (0.162, 0.069, 0.675)
Pm (0.162, 0.431, 0.675)
Pm (0.338, 0.569, 0.175)
Pm (0.338, 0.931, 0.175)
Pm (0.662, 0.069, 0.825)
Pm (0.662, 0.431, 0.825)
Pm (0.838, 0.569, 0.325)
Pm (0.838, 0.931, 0.325)
Co (0.126, 0.750, 0.451)
Co (0.374, 0.250, 0.951)
Co (0.626, 0.750, 0.049)
Co (0.874, 0.250, 0.549)



Entry from Alexandria via LeMat-Bulk: an optimized crystal structure of La3PmCo (GGA-PBE).

space group = C2/m (12)
D(E_F) = 1.1814 states/eV/atom
electronic total energy = -54.25 eV/cell
calculated formation energy = -0.10 eV/atom
energy above the most stable polymorph in this dataset = 0.000 eV/atom

a b c (Å): 7.443 7.443 8.613
angles (deg): 124.75 124.75 71.25
Positions (direct):
La (0.170, 0.749, 0.711)
La (0.251, 0.830, 0.289)
La (0.290, 0.290, 0.830)
La (0.710, 0.710, 0.170)
La (0.749, 0.170, 0.711)
La (0.830, 0.251, 0.289)
Pm (0.295, 0.295, 0.252)
Pm (0.705, 0.705, 0.748)
Co (0.387, 0.387, 0.642)
Co (0.613, 0.613, 0.358)



Entry from Alexandria via LeMat-Bulk: an optimized crystal structure of La3PmCo2 (GGA-PBE).

space group = C2/m (12)
D(E_F) = 1.0647 states/eV/atom
electronic total energy = -68.60 eV/cell
calculated formation energy = -0.09 eV/atom

a b c (Å): 8.706 8.706 12.426
angles (deg): 123.82 123.82 27.18
Positions (direct):
La (0.061, 0.061, 0.193)
La (0.185, 0.185, 0.554)
La (0.310, 0.310, 0.941)
La (0.690, 0.690, 0.059)
La (0.815, 0.815, 0.446)
La (0.939, 0.939, 0.807)
Pm (0.438, 0.438, 0.307)
Pm (0.562, 0.562, 0.693)
Co (0.125, 0.125, 0.878)
Co (0.375, 0.375, 0.626)
Co (0.625, 0.625, 0.374)
Co (0.875, 0.875, 0.122)



Which value of D(E_F) does entry 2 give? 1.2452 states/eV/atom



What is the formula in the second record? LaPm2Co



Please write out number 3 again, unchanged.
Entry from Alexandria via LeMat-Bulk: an optimized crystal structure of La3PmCo (GGA-PBE).

space group = C2/m (12)
D(E_F) = 1.1814 states/eV/atom
electronic total energy = -54.25 eV/cell
calculated formation energy = -0.10 eV/atom
energy above the most stable polymorph in this dataset = 0.000 eV/atom

a b c (Å): 7.443 7.443 8.613
angles (deg): 124.75 124.75 71.25
Positions (direct):
La (0.170, 0.749, 0.711)
La (0.251, 0.830, 0.289)
La (0.290, 0.290, 0.830)
La (0.710, 0.710, 0.170)
La (0.749, 0.170, 0.711)
La (0.830, 0.251, 0.289)
Pm (0.295, 0.295, 0.252)
Pm (0.705, 0.705, 0.748)
Co (0.387, 0.387, 0.642)
Co (0.613, 0.613, 0.358)



Among the records above, which one has the lowest D(E_F)? La3PmCo2